DFT (GGA-PBE) results for a relaxed La2TbTi crystal.

- E above lowest polymorph (meV/atom) = 243.3
- density (Mg/m³) = 6.77
- space group = No. 166

Cell lengths 12.214, 12.214, 12.214 Å; angles 15.88, 15.88, 15.88 degrees
Fractional positions:
La 0.080 0.080 0.080
La 0.920 0.920 0.920
Tb 0.500 0.500 0.500
Ti 0.000 0.000 0.000